(1)
LiTcC, optimized geometry, DFT GGA-PBE; energy relative to the elements = 327 meV/atom; E above lowest polymorph = 0.199 eV per atom; energy = -20.52 eV/cell
1.0
3.868 0.000 0.000
0.000 3.387 0.000
0.000 -1.693 2.933
Tc C Li
1 1 1
Cartesian
0.645 0.000 1.955
0.644 0.000 0.000
2.579 1.693 0.978

=====

(2)
NaLaTc, optimized geometry, DFT GGA-PBE; energy relative to the elements = 278 meV/atom; E above lowest polymorph = 0.254 eV per atom; energy = -31.56 eV/cell
1.0
-3.617 0.735 0.508
-2.977 -4.821 -0.833
0.470 -3.522 8.372
La Tc Na
2 2 2
Cartesian
-0.755 -2.596 3.870
-3.042 -2.506 1.039
-5.224 -4.596 2.095
-3.149 -4.578 3.192
-0.314 -3.504 7.824
-4.777 -5.181 5.996

=====

(3)
Tm4Te, optimized geometry, DFT GGA-PBE; uncorrected formation energy = -0.3260 eV per atom; E above lowest polymorph = 0.000 eV per atom; energy = -45.32 eV/cell
1.0
7.422 -0.624 0.000
-3.436 6.608 0.000
-1.993 -2.992 6.520
Tm Te
8 2
Cartesian
-0.507 2.194 2.391
1.503 0.690 4.894
3.938 -2.926 5.651
-2.208 1.002 4.885
2.051 4.645 1.625
-2.225 5.498 0.868
3.769 1.341 1.634
-3.209 3.994 4.128
3.035 -1.327 3.260
1.317 1.977 0.000

=====

(4)
Tm6BSb2, optimized geometry, DFT GGA-PBE; uncorrected formation energy = -0.2700 eV per atom; energy = -88.36 eV/cell
1.0
-0.689 -5.625 3.361
4.687 1.939 4.205
-8.879 5.489 7.366
Tm B Sb
12 2 4
Cartesian
-4.002 5.254 10.411
-1.990 0.852 5.037
2.466 1.256 5.046
1.095 -1.009 2.072
2.903 -2.677 5.495
-4.401 2.343 7.037
-2.891 0.951 9.895
-0.969 2.972 7.697
-7.347 0.547 9.886
-0.480 -0.540 7.895
-0.879 -3.451 4.521
-3.912 -1.169 7.235
0.000 0.000 0.000
-2.441 0.902 7.466
0.453 -0.887 5.065
-2.894 1.789 2.401
-5.985 3.700 4.965
-5.335 2.691 9.867

=====

(5)
Er3CdRh, optimized geometry, DFT GGA-PBE; energy relative to the elements = -515 meV/atom; E above lowest polymorph = 0.000 eV per atom; energy = -49.06 eV/cell
1.0
5.468 -0.070 0.460
-2.839 5.618 -0.479
0.738 -2.607 8.396
Er Rh Cd
6 2 2
Cartesian
3.247 2.525 2.452
0.530 4.202 0.725
2.839 -1.261 7.652
2.933 2.519 6.132
0.435 0.422 2.245
0.122 0.416 5.925
3.339 4.129 0.120
0.029 -1.188 8.257
0.448 2.934 4.092
2.920 0.007 4.285

=====

(6)
Li2SmSc, optimized geometry, DFT GGA-PBE; energy relative to the elements = 187 meV/atom; E above lowest polymorph = 0.000 eV per atom; energy = -14.13 eV/cell
1.0
-4.982 1.266 -0.043
-2.628 -0.057 -4.417
-3.562 -3.612 -0.825
Sc Li Sm
1 2 1
Cartesian
-5.586 -1.202 -2.642
-8.379 -1.803 -3.964
-2.793 -0.601 -1.321
0.000 0.000 0.000

=====

Question: Which of these has the lowest energy?
Answer: Tm6BSb2